Density functional theory data (PBE-GGA) for a relaxed structure of RbScSeBr2.

Cell and atoms, written as CIF:
```
data_RbScSeBr2
_cell_length_a 5.917
_cell_length_b 5.917
_cell_length_c 5.810
_cell_angle_alpha 90.00
_cell_angle_beta 90.00
_cell_angle_gamma 90.00
_space_group_name_H-M_alt 'P 1'
_space_group_IT_number 1
loop_
_space_group_symop_operation_xyz
'x,y,z'
loop_
_atom_site_label
_atom_site_fract_x
_atom_site_fract_y
_atom_site_fract_z
Sc1 0.500 0.500 0.500
Se1 0.000 0.000 0.500
Br1 0.000 0.500 0.000
Br2 0.500 0.000 0.000
Rb1 0.000 0.000 0.000
```

Computed properties:
VASP energy	-2.754	eV per atom
energy relative to the elements, uncorrected	0.07	eV/atom
distance to the lowest polymorph of the same formula	1663	meV per atom
DOS at the Fermi energy	5.20	states/eV/cell

***

Density functional theory data (PBE-GGA) for a relaxed structure of NaTl2Mo4.

Cell and atoms, written as CIF:
```
data_NaTl2Mo4
_cell_length_a 4.590
_cell_length_b 4.590
_cell_length_c 7.898
_cell_angle_alpha 73.11
_cell_angle_beta 73.11
_cell_angle_gamma 90.00
_space_group_name_H-M_alt 'P 1'
_space_group_IT_number 1
loop_
_space_group_symop_operation_xyz
'x,y,z'
loop_
_atom_site_label
_atom_site_fract_x
_atom_site_fract_y
_atom_site_fract_z
Na1 0.000 0.000 0.000
Tl1 0.635 0.635 0.730
Tl2 0.365 0.365 0.270
Mo1 0.830 0.830 0.340
Mo2 0.170 0.170 0.660
Mo3 0.000 0.500 0.000
Mo4 0.500 0.000 0.000
```

Computed properties:
VASP energy	-4.926	eV per atom
DOS at the Fermi energy	5.85	states/eV/cell
energy relative to the elements	2.1272	eV per atom